RbNpPt: relaxed, PBE-GGA.

It has space group F-43m (No. 216), with a = 7.011 Å, b = 7.011 Å, c = 7.011 Å, α = 90.00°, β = 90.00° and γ = 90.00°. The distinct sites, in fractional coordinates, are Rb at (0.000, 0.000, 0.000), Np at (0.250, 0.250, 0.750) and Pt at (0.000, 0.000, 0.500).

The total energy comes out at -5.2993 eV per atom. For the spin magnetization, the calculation gives 0.01 μB per atom.


Er4TlPbC2: relaxed, PBE-GGA.

It has space group P-6m2 (No. 187), with a = 3.5925 Å, b = 3.5925 Å, c = 16.0408 Å, α = 90.00°, β = 90.00° and γ = 120.00°. The distinct sites, in fractional coordinates, are Er at (0.0000, 0.0000, 0.1662), Er at (0.3333, 0.6667, 0.3311), Tl at (0.3333, 0.6667, 0.0000), Pb at (0.0000, 0.0000, 0.5000) and C at (0.6667, 0.3333, 0.2507).

The total energy comes out at -5.8125 eV per atom. For the spin magnetization, the calculation gives 0.00 μB per atom.